Computed, not measured: a relaxed structure of Pa3Sb2C at the PBE level of DFT.

Cell: 6.7721 7.1834 7.1834 Å, 116.33 99.90 99.90°
Last column: nearest neighbours and their distance in Å.
Fractional coordinates of all 12 atoms:
1 Pa 0.0057 0.2525 0.3877  2 C 2.54-2.55
2 Pa 0.5057 0.3877 0.2525  2 C 2.54-2.55
3 Pa 0.0000 0.5000 0.0000  2 C 2.91, 4 Sb 2.94-2.98
4 Pa 0.9943 0.7475 0.6123  2 C 2.54-2.55
5 Pa 0.5000 0.0000 0.5000  2 C 2.91, 4 Sb 2.94-2.98
6 Pa 0.4943 0.6123 0.7475  2 C 2.54-2.55
7 Sb 0.2500 0.9246 0.0754  4 Pa 2.98-3.03
8 Sb 0.2500 0.2238 0.7762  6 Pa 2.94-3.13
9 Sb 0.7500 0.0754 0.9246  4 Pa 2.98-3.03
10 Sb 0.7500 0.7762 0.2238  6 Pa 2.94-3.13
11 C 0.2500 0.5835 0.4165  4 Pa 2.54-2.55
12 C 0.7500 0.4165 0.5835  4 Pa 2.54-2.55

Summary:
total DFT energy (no corrections)	-94.727	eV/cell
D(E_F)	19.24	states/eV/cell
formation energy without anion corrections	-234	meV/atom
total magnetic moment	1.19	μB per cell

Computed, not measured: a relaxed structure of Pa5Sb3C at the PBE level of DFT.

Cell: 6.0349 9.0463 9.0463 Å, 120.00 90.00 90.00°
Last column: nearest neighbours and their distance in Å.
Fractional coordinates of all 18 atoms:
1 Pa 0.0000 0.3333 0.6667  2 Pa 3.02, 6 Sb 3.16
2 Pa 0.5000 0.6667 0.3333  2 Pa 3.02, 6 Sb 3.16
3 Pa 0.0000 0.6667 0.3333  2 Pa 3.02, 6 Sb 3.16
4 Pa 0.5000 0.3333 0.6667  2 Pa 3.02, 6 Sb 3.16
5 Pa 0.7500 0.7774 0.0000  2 C 2.52
6 Pa 0.7500 0.2226 0.2226  2 C 2.52
7 Pa 0.7500 0.0000 0.7774  2 C 2.52
8 Pa 0.2500 0.2226 0.0000  2 C 2.52
9 Pa 0.2500 0.7774 0.7774  2 C 2.52
10 Pa 0.2500 0.0000 0.2226  2 C 2.52
11 Sb 0.7500 0.3955 0.0000  9 Pa 3.11-3.45
12 Sb 0.7500 0.6045 0.6045  9 Pa 3.11-3.45
13 Sb 0.7500 0.0000 0.3955  9 Pa 3.11-3.45
14 Sb 0.2500 0.6045 0.0000  9 Pa 3.11-3.45
15 Sb 0.2500 0.3955 0.3955  9 Pa 3.11-3.45
16 Sb 0.2500 0.0000 0.6045  9 Pa 3.11-3.45
17 C 0.0000 0.0000 0.0000  6 Pa 2.52
18 C 0.5000 0.0000 0.0000  6 Pa 2.52

Summary:
total DFT energy (no corrections)	-147.593	eV/cell
D(E_F)	31.97	states/eV/cell
formation energy without anion corrections	-525	meV/atom
total magnetic moment	2.55	μB per cell

Computed, not measured: a relaxed structure of Sc2Pa2Sb2C at the PBE level of DFT.

Cell: 4.5038 4.5038 8.3886 Å, 105.57 105.57 90.00°
Last column: nearest neighbours and their distance in Å.
Fractional coordinates of all 7 atoms:
1 Sc 0.0000 0.5000 0.0000  2 C 2.25
2 Sc 0.5000 0.0000 0.0000  2 C 2.25
3 Pa 0.1590 0.1590 0.3181  1 C 2.47
4 Pa 0.8410 0.8410 0.6819  1 C 2.47
5 Sb 0.3635 0.3635 0.7270  4 Sc 3.09, 5 Pa 3.17-3.20
6 Sb 0.6365 0.6365 0.2730  4 Sc 3.09, 5 Pa 3.17-3.20
7 C 0.0000 0.0000 0.0000  4 Sc 2.25, 2 Pa 2.47

Summary:
total DFT energy (no corrections)	-53.467	eV/cell
D(E_F)	10.75	states/eV/cell
formation energy without anion corrections	-621	meV/atom
total magnetic moment	0.00	μB per cell

Computed, not measured: a relaxed structure of TbPaSbC at the PBE level of DFT.

Cell: 4.0767 4.0767 14.2356 Å, 81.77 81.77 60.00°
Last column: nearest neighbours and their distance in Å.
Fractional coordinates of all 8 atoms:
1 Tb 0.7966 0.7966 0.6102  3 Sb 2.98
2 Tb 0.2034 0.2034 0.3898  3 Sb 2.98
3 Pa 0.6334 0.6334 0.0998  4 C 2.29-2.41
4 Pa 0.3666 0.3666 0.9002  4 C 2.29-2.41
5 Sb 0.0864 0.0864 0.7408  3 Tb 2.98, 3 Pa 3.25
6 Sb 0.9136 0.9136 0.2592  3 Tb 2.98, 3 Pa 3.25
7 C 0.6878 0.6878 0.9365  4 Pa 2.29-2.41
8 C 0.3122 0.3122 0.0635  4 Pa 2.29-2.41

Summary:
total DFT energy (no corrections)	-58.161	eV/cell
D(E_F)	2.01	states/eV/cell
formation energy without anion corrections	-402	meV/atom
total magnetic moment	0.00	μB per cell

Computed, not measured: a relaxed structure of Tb2Pa2Sb2C at the PBE level of DFT.

Cell: 4.6526 4.6526 8.8274 Å, 105.28 105.28 90.00°
Last column: nearest neighbours and their distance in Å.
Fractional coordinates of all 7 atoms:
1 Tb 0.1633 0.1633 0.3266  1 C 2.68
2 Tb 0.8367 0.8367 0.6734  1 C 2.68
3 Pa 0.0000 0.5000 0.0000  2 C 2.33
4 Pa 0.5000 0.0000 0.0000  2 C 2.33
5 Sb 0.3569 0.3569 0.7138  5 Tb 3.17-3.31, 4 Pa 3.30
6 Sb 0.6431 0.6431 0.2862  5 Tb 3.17-3.31, 4 Pa 3.30
7 C 0.0000 0.0000 0.0000  4 Pa 2.33

Summary:
total DFT energy (no corrections)	-50.369	eV/cell
D(E_F)	5.71	states/eV/cell
formation energy without anion corrections	-664	meV/atom
total magnetic moment	0.00	μB per cell

Computed, not measured: a relaxed structure of TbPaSb2C at the PBE level of DFT.

Cell: 4.3043 4.3043 13.2442 Å, 90.00 90.00 90.00°
Last column: nearest neighbours and their distance in Å.
Fractional coordinates of all 10 atoms:
1 Tb 0.5000 0.0000 0.0990  6 Sb 3.04-3.14
2 Tb 0.0000 0.5000 0.9010  6 Sb 3.04-3.14
3 Pa 0.5000 0.0000 0.5778  4 C 2.39
4 Pa 0.0000 0.5000 0.4222  4 C 2.39
5 Sb 0.0000 0.5000 0.6714  1 Tb 3.04, 4 C 3.13, 5 Pa 3.29-3.30
6 Sb 0.0000 0.5000 0.1382  5 Tb 3.09-3.14
7 Sb 0.5000 0.0000 0.8618  5 Tb 3.09-3.14
8 Sb 0.5000 0.0000 0.3286  1 Tb 3.04, 4 C 3.13, 5 Pa 3.29-3.30
9 C 0.0000 0.0000 0.5000  4 Pa 2.39
10 C 0.5000 0.5000 0.5000  4 Pa 2.39

Summary:
total DFT energy (no corrections)	-67.858	eV/cell
D(E_F)	8.03	states/eV/cell
formation energy without anion corrections	-467	meV/atom
total magnetic moment	0.00	μB per cell

Computed, not measured: a relaxed structure of Pa2Tc4Sb2C at the PBE level of DFT.

Cell: 6.0084 6.0084 6.0084 Å, 94.68 117.34 117.34°
Last column: nearest neighbours and their distance in Å.
Fractional coordinates of all 9 atoms:
1 Pa 0.0000 0.7194 0.7194  1 C 2.29
2 Pa 0.0000 0.2806 0.2806  1 C 2.29
3 Tc 0.0000 0.7541 0.2459  1 C 2.17
4 Tc 0.5081 0.7541 0.7541  1 C 2.17
5 Tc 0.0000 0.2459 0.7541  1 C 2.17
6 Tc 0.4919 0.2459 0.2459  1 C 2.17
7 Sb 0.5000 0.7500 0.2500  8 Tc 3.00, 4 Pa 3.13
8 Sb 0.5000 0.2500 0.7500  8 Tc 3.00, 4 Pa 3.13
9 C 0.0000 0.0000 0.0000  4 Tc 2.17, 2 Pa 2.29

Summary:
total DFT energy (no corrections)	-78.380	eV/cell
D(E_F)	9.34	states/eV/cell
formation energy without anion corrections	-51	meV/atom
total magnetic moment	0.00	μB per cell

Computed, not measured: a relaxed structure of PaSbTe2C at the PBE level of DFT.

Cell: 4.1625 4.1625 15.8275 Å, 90.00 90.00 90.00°
Last column: nearest neighbours and their distance in Å.
Fractional coordinates of all 10 atoms:
1 Pa 0.5000 0.0000 0.5684  4 C 2.35
2 Pa 0.0000 0.5000 0.4316  4 C 2.35
3 Sb 0.5000 0.0000 0.1437  5 Te 2.87-3.03
4 Sb 0.0000 0.5000 0.8563  5 Te 2.87-3.03
5 Te 0.0000 0.5000 0.6753  1 Sb 2.87
6 Te 0.0000 0.5000 0.0994  4 Sb 3.03
7 Te 0.5000 0.0000 0.9006  4 Sb 3.03
8 Te 0.5000 0.0000 0.3247  1 Sb 2.87
9 C 0.0000 0.0000 0.5000  4 Pa 2.35
10 C 0.5000 0.5000 0.5000  4 Pa 2.35

Summary:
total DFT energy (no corrections)	-61.707	eV/cell
D(E_F)	2.03	states/eV/cell
formation energy without anion corrections	-346	meV/atom
total magnetic moment	0.00	μB per cell

Computed, not measured: a relaxed structure of Th2Pa4Sb3C2 at the PBE level of DFT.

Cell: 4.6557 4.6557 13.4259 Å, 99.98 99.98 90.00°
Last column: nearest neighbours and their distance in Å.
Fractional coordinates of all 11 atoms:
1 Th 0.3032 0.3032 0.6064  1 C 2.61
2 Th 0.6968 0.6968 0.3936  1 C 2.61
3 Pa 0.4134 0.9134 0.8268  2 C 2.34
4 Pa 0.9134 0.4134 0.8268  2 C 2.34
5 Pa 0.0866 0.5866 0.1732  2 C 2.34
6 Pa 0.5866 0.0866 0.1732  2 C 2.34
7 Sb 0.0000 0.0000 0.0000  8 Pa 3.24
8 Sb 0.1763 0.1763 0.3527  4 Pa 3.30, 5 Th 3.30-3.33
9 Sb 0.8237 0.8237 0.6473  4 Pa 3.30, 5 Th 3.30-3.33
10 C 0.4035 0.4035 0.8071  4 Pa 2.34, 1 Th 2.61
11 C 0.5965 0.5965 0.1929  4 Pa 2.34, 1 Th 2.61

Summary:
total DFT energy (no corrections)	-88.653	eV/cell
D(E_F)	15.13	states/eV/cell
formation energy without anion corrections	-456	meV/atom
total magnetic moment	0.00	μB per cell

Computed, not measured: a relaxed structure of Pa2Ti2Sb2C at the PBE level of DFT.

Cell: 4.3502 4.3502 8.2489 Å, 105.29 105.29 90.00°
Last column: nearest neighbours and their distance in Å.
Fractional coordinates of all 7 atoms:
1 Pa 0.1595 0.1595 0.3191  1 C 2.44
2 Pa 0.8405 0.8405 0.6809  1 C 2.44
3 Ti 0.0000 0.5000 0.0000  2 C 2.18
4 Ti 0.5000 0.0000 0.0000  2 C 2.18
5 Sb 0.3684 0.3684 0.7368  4 Ti 2.96, 5 Pa 3.11-3.20
6 Sb 0.6316 0.6316 0.2632  4 Ti 2.96, 5 Pa 3.11-3.20
7 C 0.0000 0.0000 0.0000  4 Ti 2.18

Summary:
total DFT energy (no corrections)	-56.466	eV/cell
D(E_F)	12.82	states/eV/cell
formation energy without anion corrections	-602	meV/atom
total magnetic moment	0.00	μB per cell

Computed, not measured: a relaxed structure of TmPaSb2C at the PBE level of DFT.

Cell: 4.2699 4.2699 13.1384 Å, 90.00 90.00 90.00°
Last column: nearest neighbours and their distance in Å.
Fractional coordinates of all 10 atoms:
1 Tm 0.5000 0.0000 0.0956  6 Sb 3.01-3.07
2 Tm 0.0000 0.5000 0.9044  6 Sb 3.01-3.07
3 Pa 0.5000 0.0000 0.5795  4 C 2.38
4 Pa 0.0000 0.5000 0.4205  4 C 2.38
5 Sb 0.0000 0.5000 0.6756  1 Tm 3.01, 4 C 3.14, 5 Pa 3.27-3.35
6 Sb 0.0000 0.5000 0.1383  5 Tm 3.07
7 Sb 0.5000 0.0000 0.8617  5 Tm 3.07
8 Sb 0.5000 0.0000 0.3244  1 Tm 3.01, 4 C 3.14, 5 Pa 3.27-3.35
9 C 0.0000 0.0000 0.5000  4 Pa 2.38
10 C 0.5000 0.5000 0.5000  4 Pa 2.38

Summary:
total DFT energy (no corrections)	-67.392	eV/cell
D(E_F)	7.60	states/eV/cell
formation energy without anion corrections	-452	meV/atom
total magnetic moment	0.00	μB per cell

Computed, not measured: a relaxed structure of Zr2Pa2Sb2C at the PBE level of DFT.

Cell: 4.5358 4.5358 8.4509 Å, 105.57 105.57 90.00°
Last column: nearest neighbours and their distance in Å.
Fractional coordinates of all 7 atoms:
1 Zr 0.0000 0.5000 0.0000  2 C 2.27
2 Zr 0.5000 0.0000 0.0000  2 C 2.27
3 Pa 0.1579 0.1579 0.3158  1 C 2.47
4 Pa 0.8421 0.8421 0.6842  1 C 2.47
5 Sb 0.3617 0.3617 0.7233  4 Zr 3.13, 5 Pa 3.19-3.22
6 Sb 0.6383 0.6383 0.2767  4 Zr 3.13, 5 Pa 3.19-3.22
7 C 0.0000 0.0000 0.0000  4 Zr 2.27, 2 Pa 2.47

Summary:
total DFT energy (no corrections)	-57.511	eV/cell
D(E_F)	11.74	states/eV/cell
formation energy without anion corrections	-565	meV/atom
total magnetic moment	0.00	μB per cell